Density functional theory data (PBE) for a relaxed structure of B2Mo2P. Values from VASP.

Cell and atoms, written as Quantum ESPRESSO input:
```
&SYSTEM
  ibrav = 0, nat = 5, ntyp = 3
/
ATOMIC_SPECIES
Mo 95.94 Mo.upf
B 10.81 B.upf
P 30.97 P.upf
CELL_PARAMETERS angstrom
1.5218 -5.7426 0.0000
1.5218 5.7426 0.0000
0.0000 0.0000 3.0897
ATOMIC_POSITIONS angstrom
Mo 1.5218 1.5371 1.5448
Mo 1.5218 -1.5371 1.5448
B 1.5218 3.3009 0.0000
B 1.5218 -3.3009 0.0000
P 0.0000 0.0000 0.0000
```

Results
As for the space-group type: Cmmm (65). Its energy is -8.38 eV per atom. Its crystal system is orthorhombic. The size of the total moment is 0.0 μB/f.u.